(1)
# GGA-PBE Sc4NiC3, relaxed
# total energy	-7.578	eV/atom
data_Sc4NiC3
_symmetry_space_group_name_H-M 'P 63/m m c'
_symmetry_Int_Tables_number 194
_symmetry_space_group_name_Hall '-P 6c 2c'
_cell_length_a 3.2820
_cell_length_b 3.2820
_cell_length_c 24.2185
_cell_angle_alpha 90.00
_cell_angle_beta 90.00
_cell_angle_gamma 120.00
loop_
_atom_site_label
_atom_site_type_symbol
_atom_site_fract_x
_atom_site_fract_y
_atom_site_fract_z
Sc1 Sc 0.0000 0.0000 0.1639
Sc2 Sc 0.3333 0.6667 0.0575
Ni1 Ni 0.3333 0.6667 0.2500
C1 C 0.0000 0.0000 0.0000
C2 C 0.3333 0.6667 0.6164



(2)
# GGA-PBE BaErB, relaxed
# total energy	-2.900	eV/atom
data_BaErB
_symmetry_space_group_name_H-M 'F -4 3 m'
_symmetry_Int_Tables_number 216
_symmetry_space_group_name_Hall 'F -4 2 3'
_cell_length_a 6.8090
_cell_length_b 6.8090
_cell_length_c 6.8090
_cell_angle_alpha 90.00
_cell_angle_beta 90.00
_cell_angle_gamma 90.00
loop_
_atom_site_label
_atom_site_type_symbol
_atom_site_fract_x
_atom_site_fract_y
_atom_site_fract_z
Ba1 Ba 0.0000 0.0000 0.0000
Er1 Er 0.2500 0.2500 0.2500
B1 B 0.2500 0.2500 0.7500



(3)
# GGA-PBE DyYGe2Au2, relaxed
# total energy	-5.312	eV/atom
data_DyYGe2Au2
_symmetry_space_group_name_H-M 'P 3 m 1'
_symmetry_Int_Tables_number 156
_symmetry_space_group_name_Hall 'P 3 -2"'
_cell_length_a 4.4811
_cell_length_b 4.4811
_cell_length_c 7.3284
_cell_angle_alpha 90.00
_cell_angle_beta 90.00
_cell_angle_gamma 120.00
loop_
_atom_site_label
_atom_site_type_symbol
_atom_site_fract_x
_atom_site_fract_y
_atom_site_fract_z
Dy1 Dy 0.0000 0.0000 0.0000
Y1 Y 0.0000 0.0000 0.5003
Ge1 Ge 0.3333 0.6667 0.2068
Ge2 Ge 0.6667 0.3333 0.7079
Au1 Au 0.3333 0.6667 0.7926
Au2 Au 0.6667 0.3333 0.2906



(4)
# GGA-PBE NdNbNi, relaxed
# total energy	-6.329	eV/atom
# ΔH_f (0 K)	1.44	eV per formula unit
data_NdNbNi
_symmetry_space_group_name_H-M 'F -4 3 m'
_symmetry_Int_Tables_number 216
_symmetry_space_group_name_Hall 'F -4 2 3'
_cell_length_a 6.3971
_cell_length_b 6.3971
_cell_length_c 6.3971
_cell_angle_alpha 90.00
_cell_angle_beta 90.00
_cell_angle_gamma 90.00
loop_
_atom_site_label
_atom_site_type_symbol
_atom_site_fract_x
_atom_site_fract_y
_atom_site_fract_z
Nd1 Nd 0.0000 0.0000 0.0000
Nb1 Nb 0.0000 0.0000 0.5000
Ni1 Ni 0.2500 0.2500 0.7500



(5)
# GGA-PBE TmAlCo, relaxed
# total energy	-5.607	eV/atom
data_TmAlCo
_symmetry_space_group_name_H-M 'P n m a'
_symmetry_Int_Tables_number 62
_symmetry_space_group_name_Hall '-P 2ac 2n'
_cell_length_a 6.6522
_cell_length_b 3.9423
_cell_length_c 7.8327
_cell_angle_alpha 90.00
_cell_angle_beta 90.00
_cell_angle_gamma 90.00
loop_
_atom_site_label
_atom_site_type_symbol
_atom_site_fract_x
_atom_site_fract_y
_atom_site_fract_z
Tm1 Tm 0.0348 0.2500 0.1763
Al1 Al 0.1357 0.2500 0.5557
Co1 Co 0.2330 0.7500 0.3691



(6)
# GGA-PBE CsHg4F12, relaxed
# total energy	-2.799	eV/atom
data_CsHg4F12
_symmetry_space_group_name_H-M 'I m -3'
_symmetry_Int_Tables_number 204
_symmetry_space_group_name_Hall '-I 2 2 3'
_cell_length_a 8.6165
_cell_length_b 8.6165
_cell_length_c 8.6165
_cell_angle_alpha 90.00
_cell_angle_beta 90.00
_cell_angle_gamma 90.00
loop_
_atom_site_label
_atom_site_type_symbol
_atom_site_fract_x
_atom_site_fract_y
_atom_site_fract_z
Cs1 Cs 0.0000 0.0000 0.0000
Hg1 Hg 0.2500 0.2500 0.2500
F1 F 0.0000 0.2441 0.2474



(7)
# GGA-PBE TmNbGa, relaxed
# total energy	-5.705	eV/atom
data_TmNbGa
_symmetry_space_group_name_H-M 'F -4 3 m'
_symmetry_Int_Tables_number 216
_symmetry_space_group_name_Hall 'F -4 2 3'
_cell_length_a 6.4727
_cell_length_b 6.4727
_cell_length_c 6.4727
_cell_angle_alpha 90.00
_cell_angle_beta 90.00
_cell_angle_gamma 90.00
loop_
_atom_site_label
_atom_site_type_symbol
_atom_site_fract_x
_atom_site_fract_y
_atom_site_fract_z
Tm1 Tm 0.0000 0.0000 0.0000
Nb1 Nb 0.0000 0.0000 0.5000
Ga1 Ga 0.2500 0.2500 0.7500



(8)
# GGA-PBE Nb2SnPbO4, relaxed
# total energy	-7.655	eV/atom
data_Nb2SnPbO4
_symmetry_space_group_name_H-M 'P -3 m 1'
_symmetry_Int_Tables_number 164
_symmetry_space_group_name_Hall '-P 3 2"'
_cell_length_a 3.0545
_cell_length_b 3.0545
_cell_length_c 14.6638
_cell_angle_alpha 90.00
_cell_angle_beta 90.00
_cell_angle_gamma 120.00
loop_
_atom_site_label
_atom_site_type_symbol
_atom_site_fract_x
_atom_site_fract_y
_atom_site_fract_z
Nb1 Nb 0.3333 0.6667 0.2450
Sn1 Sn 0.0000 0.0000 0.0000
Pb1 Pb 0.0000 0.0000 0.5000
O1 O 0.0000 0.0000 0.1590
O2 O 0.0000 0.0000 0.3296



(9)
# GGA-PBE TbAlOs, relaxed
# total energy	-6.362	eV/atom
data_TbAlOs
_symmetry_space_group_name_H-M 'F -4 3 m'
_symmetry_Int_Tables_number 216
_symmetry_space_group_name_Hall 'F -4 2 3'
_cell_length_a 6.2954
_cell_length_b 6.2954
_cell_length_c 6.2954
_cell_angle_alpha 90.00
_cell_angle_beta 90.00
_cell_angle_gamma 90.00
loop_
_atom_site_label
_atom_site_type_symbol
_atom_site_fract_x
_atom_site_fract_y
_atom_site_fract_z
Tb1 Tb 0.0000 0.0000 0.0000
Al1 Al 0.2500 0.2500 0.7500
Os1 Os 0.0000 0.0000 0.5000



(10)
# GGA-PBE KRbPdBr4, relaxed
# total energy	-3.160	eV/atom
data_KRbPdBr4
_symmetry_space_group_name_H-M 'P m m m'
_symmetry_Int_Tables_number 47
_symmetry_space_group_name_Hall '-P 2 2'
_cell_length_a 4.4573
_cell_length_b 7.4847
_cell_length_c 7.6499
_cell_angle_alpha 90.00
_cell_angle_beta 90.00
_cell_angle_gamma 90.00
loop_
_atom_site_label
_atom_site_type_symbol
_atom_site_fract_x
_atom_site_fract_y
_atom_site_fract_z
K1 K 0.0000 0.0000 0.0000
Rb1 Rb 0.0000 0.5000 0.5000
Pd1 Pd 0.5000 0.5000 0.0000
Br1 Br 0.5000 0.2644 0.2276



(11)
# GGA-PBE BaMg4Pd, relaxed
# total energy	-2.535	eV/atom
data_BaMg4Pd
_symmetry_space_group_name_H-M 'P m m a'
_symmetry_Int_Tables_number 51
_symmetry_space_group_name_Hall '-P 2a 2a'
_cell_length_a 8.9869
_cell_length_b 4.3454
_cell_length_c 8.1152
_cell_angle_alpha 90.00
_cell_angle_beta 90.00
_cell_angle_gamma 90.00
loop_
_atom_site_label
_atom_site_type_symbol
_atom_site_fract_x
_atom_site_fract_y
_atom_site_fract_z
Ba1 Ba 0.2500 0.0000 0.0922
Mg1 Mg 0.0000 0.0000 0.5000
Mg2 Mg 0.0687 0.5000 0.7774
Mg3 Mg 0.2500 0.5000 0.4598
Pd1 Pd 0.2500 0.0000 0.6803



(12)
# GGA-PBE Lu2Hf4As3C3, relaxed
# total energy	-8.453	eV/atom
data_Lu2Hf4As3C3
_symmetry_space_group_name_H-M 'C 1 2/c 1'
_symmetry_Int_Tables_number 15
_symmetry_space_group_name_Hall '-C 2yc'
_cell_length_a 10.4832
_cell_length_b 6.0596
_cell_length_c 13.1308
_cell_angle_alpha 90.00
_cell_angle_beta 105.46
_cell_angle_gamma 90.00
loop_
_atom_site_label
_atom_site_type_symbol
_atom_site_fract_x
_atom_site_fract_y
_atom_site_fract_z
Lu1 Lu 0.0466 0.0820 0.3951
Hf1 Hf 0.1159 0.4142 0.5973
Hf2 Hf 0.2185 0.4184 0.9027
As1 As 0.0000 0.4295 0.2500
As2 As 0.1738 0.0903 0.7509
C1 C 0.0882 0.2642 0.0000
C2 C 0.2500 0.2500 0.5000



The lowest total energy belongs to which entry?
Lu2Hf4As3C3